No. 1
The following is a PBE-GGA calculation of an optimized crystal structure of CePuMgSn, from Alexandria via LeMat-Bulk.

Structure (extended XYZ):
```
8
Lattice="4.6235 0.0000 0.0000 0.0000 4.6235 0.0000 0.0000 0.0000 9.6612" Properties=species:S:1:pos:R:3 pbc="T T T"
Ce 0.0000 0.0000 0.0000
Ce 2.3118 2.3118 4.8306
Pu 0.0000 2.3118 2.4153
Pu 2.3118 0.0000 7.2459
Mg 0.0000 2.3118 7.2459
Mg 2.3118 0.0000 2.4153
Sn 0.0000 0.0000 4.8306
Sn 2.3118 2.3118 0.0000
```

Output
energy relative to the elements: -22.0 kJ/mol of atoms
crystal system: tetragonal
symmetry: I-4m2 (119)
Fermi-level density of states: 14.72 states/eV per cell
density: 8.477 g/cm3

=====

No. 2
The following is a PBE-GGA calculation of an optimized crystal structure of Ce2PuMg2Sn2, from Alexandria via LeMat-Bulk.

Structure (extended XYZ):
```
7
Lattice="2.5667 1.4819 8.1920 -2.5667 1.4819 8.1920 0.0000 -2.9637 8.1920" Properties=species:S:1:pos:R:3 pbc="T T T"
Ce 0.0000 0.0000 3.1136
Ce 0.0000 0.0000 21.4623
Pu 0.0000 0.0000 0.0000
Mg 0.0000 0.0000 9.7608
Mg 0.0000 0.0000 14.8151
Sn 0.0000 0.0000 6.5323
Sn 0.0000 0.0000 18.0437
```

Output
energy relative to the elements: -22.5 kJ/mol of atoms
crystal system: trigonal
symmetry: R-3m (166)
Fermi-level density of states: 18.37 states/eV per cell
density: 7.197 g/cm3

=====

No. 3
The following is a PBE-GGA calculation of an optimized crystal structure of CePuMgSn, from Alexandria via LeMat-Bulk.

Structure (extended XYZ):
```
16
Lattice="7.6167 0.0000 0.0000 0.0000 7.6167 0.0000 0.0000 0.0000 7.6167" Properties=species:S:1:pos:R:3 pbc="T T T"
Ce 0.0000 0.0000 0.0000
Ce 0.0000 3.8083 3.8083
Ce 3.8083 0.0000 3.8083
Ce 3.8083 3.8083 0.0000
Pu 0.0000 0.0000 3.8083
Pu 0.0000 3.8083 0.0000
Pu 3.8083 0.0000 0.0000
Pu 3.8083 3.8083 3.8083
Mg 1.9042 1.9042 5.7125
Mg 1.9042 5.7125 1.9042
Mg 5.7125 1.9042 1.9042
Mg 5.7125 5.7125 5.7125
Sn 1.9042 1.9042 1.9042
Sn 1.9042 5.7125 5.7125
Sn 5.7125 1.9042 5.7125
Sn 5.7125 5.7125 1.9042
```

Output
energy relative to the elements: -16.7 kJ/mol of atoms
crystal system: cubic
symmetry: F-43m (216)
Fermi-level density of states: 58.82 states/eV per cell
density: 7.924 g/cm3

=====

No. 4
The following is a PBE-GGA calculation of an optimized crystal structure of CePuThMg, from Alexandria via LeMat-Bulk.

Structure (extended XYZ):
```
16
Lattice="7.6077 0.0000 0.0000 0.0000 7.6077 0.0000 0.0000 0.0000 7.6077" Properties=species:S:1:pos:R:3 pbc="T T T"
Ce 0.0000 0.0000 0.0000
Ce 0.0000 3.8039 3.8039
Ce 3.8039 0.0000 3.8039
Ce 3.8039 3.8039 0.0000
Pu 1.9019 1.9019 1.9019
Pu 1.9019 5.7058 5.7058
Pu 5.7058 1.9019 5.7058
Pu 5.7058 5.7058 1.9019
Th 0.0000 0.0000 3.8039
Th 0.0000 3.8039 0.0000
Th 3.8039 0.0000 0.0000
Th 3.8039 3.8039 3.8039
Mg 1.9019 1.9019 5.7058
Mg 1.9019 5.7058 1.9019
Mg 5.7058 1.9019 1.9019
Mg 5.7058 5.7058 5.7058
```

Output
energy relative to the elements: 11.0 kJ/mol of atoms
crystal system: cubic
symmetry: F-43m (216)
Fermi-level density of states: 37.47 states/eV per cell
density: 9.661 g/cm3

=====

no.,calculated volume (Å³/cell)
1,207
2,187
3,442
4,440